## A
## HfZr3Nb (PBE)

Data for HfZr3Nb after structural relaxation.

Values from the calculation:
As for the space-group type: P-1 (2). The value obtained for the density is 8.24 g cm⁻³. The value obtained for the total moment is 0.00 μB per formula unit. The volume is 220 Å³ per cell.

Cell lengths 3.110, 7.649, 9.960 Å; angles 108.62, 91.06, 100.89 degrees
Positions (direct):
Hf 0.096 0.115 0.157
Hf 0.904 0.885 0.843
Zr 0.193 0.489 0.750
Zr 0.373 0.719 0.064
Zr 0.375 0.709 0.543
Zr 0.625 0.291 0.457
Zr 0.627 0.281 0.936
Zr 0.807 0.511 0.250
Nb 0.190 0.085 0.637
Nb 0.810 0.915 0.363

=====

## B
## HfZr3Nb (PBE)

Data for HfZr3Nb after structural relaxation.

Values from the calculation:
As for the space-group type: Pm-3m (221). The value obtained for the density is 6.98 g cm⁻³. The value obtained for the total moment is 0.00 μB per formula unit. The volume is 130 Å³ per cell.

Cell lengths 5.063, 5.063, 5.063 Å; angles 90.00, 90.00, 90.00 degrees
Positions (direct):
Hf 0.000 0.000 0.000
Zr 0.000 0.500 0.500
Zr 0.500 0.000 0.500
Zr 0.500 0.500 0.000
Nb 0.500 0.500 0.500

=====

Most stable: A

=====

## A
## Hf2ZrNb (PBE)

Data for Hf2ZrNb after structural relaxation.

Values from the calculation:
As for the space-group type: I-42d (122). The value obtained for the density is 10.17 g cm⁻³. The value obtained for the total moment is 0.00 μB per formula unit. The volume is 177 Å³ per cell.

Cell lengths 6.209, 6.209, 6.209 Å; angles 103.27, 103.27, 122.75 degrees
Positions (direct):
Hf 0.112 0.125 0.487
Hf 0.375 0.888 0.013
Hf 0.638 0.625 0.513
Hf 0.875 0.362 0.987
Zr 0.250 0.750 0.500
Zr 0.500 0.500 0.000
Nb 0.000 0.000 0.000
Nb 0.750 0.250 0.500

=====

## B
## Hf2ZrNb (PBE)

Data for Hf2ZrNb after structural relaxation.

Values from the calculation:
As for the space-group type: P4/mmm (123). The value obtained for the density is 10.43 g cm⁻³. The value obtained for the total moment is 0.00 μB per formula unit. The volume is 86 Å³ per cell.

Cell lengths 4.447, 4.447, 4.355 Å; angles 90.00, 90.00, 90.00 degrees
Positions (direct):
Hf 0.000 0.500 0.000
Hf 0.500 0.000 0.000
Zr 0.000 0.000 0.500
Nb 0.500 0.500 0.500

=====

Most stable: B

=====

## A
## Hf2ZrNb (PBE)

Data for Hf2ZrNb after structural relaxation.

Values from the calculation:
As for the space-group type: Fm-3m (225). The value obtained for the density is 10.65 g cm⁻³. The value obtained for the total moment is 0.00 μB per formula unit. The volume is 84 Å³ per cell.

Cell lengths 4.923, 4.923, 4.923 Å; angles 60.00, 60.00, 60.00 degrees
Positions (direct):
Hf 0.250 0.250 0.250
Hf 0.750 0.750 0.750
Zr 0.000 0.000 0.000
Nb 0.500 0.500 0.500

=====

## B
## Hf2ZrNb (PBE)

Data for Hf2ZrNb after structural relaxation.

Values from the calculation:
As for the space-group type: P4/mmm (123). The value obtained for the density is 10.52 g cm⁻³. The value obtained for the total moment is 0.00 μB per formula unit. The volume is 85 Å³ per cell.

Cell lengths 3.437, 3.437, 7.231 Å; angles 90.00, 90.00, 90.00 degrees
Positions (direct):
Hf 0.000 0.000 0.224
Hf 0.000 0.000 0.776
Zr 0.500 0.500 0.500
Nb 0.500 0.500 0.000

=====

## C
## Hf2ZrNb (PBE)

Data for Hf2ZrNb after structural relaxation.

Values from the calculation:
As for the space-group type: Amm2 (38). The value obtained for the density is 10.42 g cm⁻³. The value obtained for the total moment is 0.00 μB per formula unit. The volume is 86 Å³ per cell.

Cell lengths 9.628, 3.111, 3.111 Å; angles 67.70, 90.00, 90.00 degrees
Positions (direct):
Hf 0.236 0.000 0.000
Hf 0.764 0.000 0.000
Zr 0.500 0.382 0.382
Nb 0.000 0.412 0.412

=====

## D
## Hf2ZrNb (PBE)

Data for Hf2ZrNb after structural relaxation.

Values from the calculation:
As for the space-group type: R-3m (166). The value obtained for the density is 10.39 g cm⁻³. The value obtained for the total moment is 0.00 μB per formula unit. The volume is 86 Å³ per cell.

Cell lengths 10.344, 10.344, 10.344 Å; angles 17.41, 17.41, 17.41 degrees
Positions (direct):
Hf 0.247 0.247 0.247
Hf 0.753 0.753 0.753
Zr 0.000 0.000 0.000
Nb 0.500 0.500 0.500

=====

Most stable: B

=====

## A
## HfZr2Nb (PBE)

Data for HfZr2Nb after structural relaxation.

Values from the calculation:
As for the space-group type: Fm-3m (225). The value obtained for the density is 8.83 g cm⁻³. The value obtained for the total moment is 0.00 μB per formula unit. The volume is 85 Å³ per cell.

Cell lengths 4.943, 4.943, 4.943 Å; angles 60.00, 60.00, 60.00 degrees
Positions (direct):
Hf 0.000 0.000 0.000
Zr 0.250 0.250 0.250
Zr 0.750 0.750 0.750
Nb 0.500 0.500 0.500

=====

## B
## HfZr2Nb (PBE)

Data for HfZr2Nb after structural relaxation.

Values from the calculation:
As for the space-group type: Pmm2 (25). The value obtained for the density is 8.69 g cm⁻³. The value obtained for the total moment is 0.00 μB per formula unit. The volume is 87 Å³ per cell.

Cell lengths 3.044, 4.638, 6.147 Å; angles 90.00, 90.00, 90.00 degrees
Positions (direct):
Hf 0.000 0.000 0.000
Zr 0.000 0.000 0.484
Zr 0.500 0.500 0.746
Nb 0.500 0.500 0.235

=====

## C
## HfZr2Nb (PBE)

Data for HfZr2Nb after structural relaxation.

Values from the calculation:
As for the space-group type: R3m (160). The value obtained for the density is 8.60 g cm⁻³. The value obtained for the total moment is 0.00 μB per formula unit. The volume is 88 Å³ per cell.

Cell lengths 10.334, 10.334, 10.334 Å; angles 17.55, 17.55, 17.55 degrees
Positions (direct):
Hf 0.000 0.000 0.000
Zr 0.581 0.581 0.581
Zr 0.752 0.752 0.752
Nb 0.167 0.167 0.167

=====

## D
## HfZr2Nb (PBE)

Data for HfZr2Nb after structural relaxation.

Values from the calculation:
As for the space-group type: I-42d (122). The value obtained for the density is 8.48 g cm⁻³. The value obtained for the total moment is 0.00 μB per formula unit. The volume is 178 Å³ per cell.

Cell lengths 6.224, 6.224, 6.224 Å; angles 103.16, 103.16, 123.00 degrees
Positions (direct):
Hf 0.000 0.000 0.000
Hf 0.750 0.250 0.500
Zr 0.137 0.625 0.012
Zr 0.375 0.387 0.512
Zr 0.613 0.125 0.988
Zr 0.875 0.863 0.488
Nb 0.250 0.750 0.500
Nb 0.500 0.500 0.000

=====

Most stable: A

=====

## A
## HfZr2Nb (PBE)

Data for HfZr2Nb after structural relaxation.

Values from the calculation:
As for the space-group type: P4/mmm (123). The value obtained for the density is 8.67 g cm⁻³. The value obtained for the total moment is 0.00 μB per formula unit. The volume is 87 Å³ per cell.

Cell lengths 4.353, 4.353, 4.586 Å; angles 90.00, 90.00, 90.00 degrees
Positions (direct):
Hf 0.000 0.000 0.000
Zr 0.000 0.500 0.500
Zr 0.500 0.000 0.500
Nb 0.500 0.500 0.000

=====

## B
## HfZr2Nb (PBE)

Data for HfZr2Nb after structural relaxation.

Values from the calculation:
As for the space-group type: P4/mmm (123). The value obtained for the density is 8.76 g cm⁻³. The value obtained for the total moment is 0.00 μB per formula unit. The volume is 86 Å³ per cell.

Cell lengths 3.453, 3.453, 7.214 Å; angles 90.00, 90.00, 90.00 degrees
Positions (direct):
Hf 0.000 0.000 0.000
Zr 0.500 0.500 0.272
Zr 0.500 0.500 0.728
Nb 0.000 0.000 0.500

=====

Most stable: B

=====

## A
## HfZrNb2 (PBE)

Data for HfZrNb2 after structural relaxation.

Values from the calculation:
As for the space-group type: Imma (74). The value obtained for the density is 9.17 g cm⁻³. The value obtained for the total moment is 0.00 μB per formula unit. The volume is 165 Å³ per cell.

Cell lengths 6.002, 6.002, 6.002 Å; angles 115.59, 106.32, 106.68 degrees
Positions (direct):
Hf 0.482 0.232 0.250
Hf 0.518 0.768 0.750
Zr 0.020 0.770 0.250
Zr 0.980 0.230 0.750
Nb 0.000 0.289 0.289
Nb 0.000 0.711 0.711
Nb 0.500 0.289 0.789
Nb 0.500 0.711 0.211

=====

## B
## HfZrNb2 (PBE)

Data for HfZrNb2 after structural relaxation.

Values from the calculation:
As for the space-group type: Cmm2 (35). The value obtained for the density is 9.28 g cm⁻³. The value obtained for the total moment is 0.00 μB per formula unit. The volume is 81 Å³ per cell.

Cell lengths 3.016, 3.016, 9.710 Å; angles 90.00, 90.00, 112.70 degrees
Positions (direct):
Hf 0.000 0.000 0.000
Zr 0.500 0.500 0.283
Nb 0.000 0.000 0.532
Nb 0.500 0.500 0.754

=====

Most stable: B

=====

## A
## HfZrNb2 (PBE)

Data for HfZrNb2 after structural relaxation.

Values from the calculation:
As for the space-group type: P6_3/mmc (194). The value obtained for the density is 8.74 g cm⁻³. The value obtained for the total moment is 0.00 μB per formula unit. The volume is 173 Å³ per cell.

Cell lengths 5.046, 5.046, 7.848 Å; angles 90.00, 90.00, 120.00 degrees
Positions (direct):
Hf 0.333 0.667 0.250
Hf 0.667 0.333 0.750
Zr 0.000 0.000 0.250
Zr 0.000 0.000 0.750
Nb 0.333 0.667 0.590
Nb 0.333 0.667 0.910
Nb 0.667 0.333 0.090
Nb 0.667 0.333 0.410

=====

## B
## HfZrNb2 (PBE)

Data for HfZrNb2 after structural relaxation.

Values from the calculation:
As for the space-group type: I-42d (122). The value obtained for the density is 9.01 g cm⁻³. The value obtained for the total moment is 0.00 μB per formula unit. The volume is 168 Å³ per cell.

Cell lengths 6.106, 6.106, 6.106 Å; angles 103.22, 103.22, 122.87 degrees
Positions (direct):
Hf 0.000 0.000 0.000
Hf 0.750 0.250 0.500
Zr 0.250 0.750 0.500
Zr 0.500 0.500 0.000
Nb 0.125 0.125 0.500
Nb 0.375 0.875 0.000
Nb 0.625 0.625 0.500
Nb 0.875 0.375 0.000

=====

## C
## HfZrNb2 (PBE)

Data for HfZrNb2 after structural relaxation.

Values from the calculation:
As for the space-group type: P4/mmm (123). The value obtained for the density is 9.38 g cm⁻³. The value obtained for the total moment is 0.00 μB per formula unit. The volume is 81 Å³ per cell.

Cell lengths 3.430, 3.430, 6.856 Å; angles 90.00, 90.00, 90.00 degrees
Positions (direct):
Hf 0.000 0.000 0.000
Zr 0.000 0.000 0.500
Nb 0.500 0.500 0.250
Nb 0.500 0.500 0.750

=====

Most stable: C

=====

## A
## NdHfPb2 (PBE)

Data for NdHfPb2 after structural relaxation.

Values from the calculation:
As for the space-group type: R-3m (166). The value obtained for the density is 10.77 g cm⁻³. The value obtained for the total moment is 0.00 μB per formula unit. The volume is 114 Å³ per cell.

Cell lengths 6.183, 6.183, 6.183 Å; angles 46.52, 46.52, 46.52 degrees
Positions (direct):
Nd 0.000 0.000 0.000
Hf 0.500 0.500 0.500
Pb 0.237 0.237 0.237
Pb 0.763 0.763 0.763

=====

## B
## NdHfPb2 (PBE)

Data for NdHfPb2 after structural relaxation.

Values from the calculation:
As for the space-group type: P4/mmm (123). The value obtained for the density is 11.55 g cm⁻³. The value obtained for the total moment is 0.19 μB per formula unit. The volume is 106 Å³ per cell.

Cell lengths 3.421, 3.421, 9.052 Å; angles 90.00, 90.00, 90.00 degrees
Positions (direct):
Nd 0.000 0.000 0.000
Hf 0.000 0.000 0.500
Pb 0.500 0.500 0.268
Pb 0.500 0.500 0.732

=====

Most stable: B